Run i
Density functional theory data (PBE-GGA) for crystalline TiPd6Au at its relaxed geometry. Values from VASP.

Output
- Magnetic moment: 0.0 Bohr magnetons per cell
- Symmetry: No. 2

```
&SYSTEM
  ibrav = 0, nat = 8, ntyp = 3
/
ATOMIC_SPECIES
Pd 106.42 Pd.upf
Au 196.97 Au.upf
Ti 47.87 Ti.upf
ATOMIC_POSITIONS angstrom
Pd -5.757 -0.842 -1.528
Pd -12.644 -3.320 -5.419
Pd -2.894 -0.372 -0.403
Pd -12.064 -2.020 -2.946
Pd -3.474 -1.672 -2.877
Pd -9.781 -2.849 -4.295
Au 0.000 0.000 0.000
Ti -7.769 -1.846 -2.911
CELL_PARAMETERS angstrom
-6.794 1.600 -0.212
-4.509 -2.481 -5.318
-4.234 -2.810 -0.293
```

***

Run ii
Density functional theory data (PBE-GGA) for crystalline TiPd6Au at its relaxed geometry. Values from VASP.

Output
- Magnetic moment: 0.0 Bohr magnetons per cell
- Symmetry: No. 123

```
&SYSTEM
  ibrav = 0, nat = 8, ntyp = 3
/
ATOMIC_SPECIES
Pd 106.42 Pd.upf
Au 196.97 Au.upf
Ti 47.87 Ti.upf
ATOMIC_POSITIONS angstrom
Pd 2.282 -5.240 -1.998
Pd 1.024 -4.353 0.472
Pd 1.990 -2.566 -3.110
Pd -0.527 -1.352 -3.114
Pd 0.731 -1.678 -0.640
Pd -1.465 -3.086 0.363
Au -0.243 -3.948 -2.035
Ti -1.749 -0.489 -0.716
CELL_PARAMETERS angstrom
-3.499 -0.978 -1.431
2.444 -1.725 -4.796
0.569 -5.193 2.157
```

***

Which is most stable? The ranking, best first, is run ii, run i.

***

Run i
Density functional theory data (PBE-GGA) for crystalline Ti2Pd6Au at its relaxed geometry. Values from VASP.

Output
- Magnetic moment: 0.0 Bohr magnetons per cell
- Symmetry: No. 12

```
&SYSTEM
  ibrav = 0, nat = 9, ntyp = 3
/
ATOMIC_SPECIES
Pd 106.42 Pd.upf
Ti 47.87 Ti.upf
Au 196.97 Au.upf
ATOMIC_POSITIONS angstrom
Pd -2.353 -3.626 1.713
Pd -3.163 -0.781 5.518
Pd -4.912 -1.395 7.612
Pd -4.102 -4.240 3.806
Pd -5.204 -4.027 8.512
Pd -2.061 -0.994 0.812
Ti -3.812 -1.526 2.816
Ti -3.452 -3.495 6.508
Au -1.721 -2.848 4.296
CELL_PARAMETERS angstrom
-3.823 0.675 0.733
-2.680 -4.051 0.398
-0.762 -1.645 8.194
```

***

Run ii
Density functional theory data (PBE-GGA) for crystalline Ti2Pd6Au at its relaxed geometry. Values from VASP.

Output
- Magnetic moment: 0.0 Bohr magnetons per cell
- Symmetry: No. 189

```
&SYSTEM
  ibrav = 0, nat = 9, ntyp = 3
/
ATOMIC_SPECIES
Au 196.97 Au.upf
Pd 106.42 Pd.upf
Ti 47.87 Ti.upf
ATOMIC_POSITIONS angstrom
Au -1.700 -7.338 -1.768
Pd -1.110 -5.076 -0.246
Pd -2.288 -0.737 0.081
Pd -0.671 -2.629 -1.539
Pd 0.944 -6.487 -1.862
Pd -3.752 -5.476 -1.542
Pd 1.774 -1.611 -0.195
Ti 1.330 -4.173 -0.326
Ti -2.953 -3.250 -0.034
CELL_PARAMETERS angstrom
-0.155 0.171 -2.815
5.612 -5.095 -0.618
-7.235 -2.329 0.257
```

***

Which is most stable? The ranking, best first, is run i, run ii.

***

Run i
Density functional theory data (PBE-GGA) for crystalline Ti2Pd2Au at its relaxed geometry. Values from VASP.

Output
- Magnetic moment: 0.0 Bohr magnetons per cell
- Symmetry: No. 127

```
&SYSTEM
  ibrav = 0, nat = 10, ntyp = 3
/
ATOMIC_SPECIES
Pd 106.42 Pd.upf
Ti 47.87 Ti.upf
Au 196.97 Au.upf
ATOMIC_POSITIONS angstrom
Pd 4.905 6.669 1.412
Pd 1.047 4.905 1.412
Pd 2.811 1.047 1.412
Pd 6.669 2.811 1.412
Ti 6.500 5.075 0.000
Ti 1.217 2.642 0.000
Ti 2.642 6.500 0.000
Ti 5.075 1.217 0.000
Au 3.858 3.858 0.000
Au 0.000 0.000 0.000
CELL_PARAMETERS angstrom
7.716 0.000 0.000
0.000 7.716 0.000
0.000 0.000 2.824
```

***

Run ii
Density functional theory data (PBE-GGA) for crystalline Ti2Pd2Au at its relaxed geometry. Values from VASP.

Output
- Magnetic moment: 0.0 Bohr magnetons per cell
- Symmetry: No. 127

```
&SYSTEM
  ibrav = 0, nat = 10, ntyp = 3
/
ATOMIC_SPECIES
Ti 47.87 Ti.upf
Pd 106.42 Pd.upf
Au 196.97 Au.upf
ATOMIC_POSITIONS angstrom
Ti 1.255 4.932 1.524
Ti 2.422 1.255 1.524
Ti 4.932 6.099 1.524
Ti 6.099 2.422 1.524
Pd 6.399 4.633 0.000
Pd 4.633 0.956 0.000
Pd 0.956 2.721 0.000
Pd 2.721 6.399 0.000
Au 3.677 3.677 0.000
Au 0.000 0.000 0.000
CELL_PARAMETERS angstrom
7.354 0.000 0.000
0.000 7.354 0.000
0.000 0.000 3.047
```

***

Run iii
Density functional theory data (PBE-GGA) for crystalline Ti2Pd2Au at its relaxed geometry. Values from VASP.

Output
- Magnetic moment: 0.0 Bohr magnetons per cell
- Symmetry: No. 12

```
&SYSTEM
  ibrav = 0, nat = 5, ntyp = 3
/
ATOMIC_SPECIES
Ti 47.87 Ti.upf
Pd 106.42 Pd.upf
Au 196.97 Au.upf
ATOMIC_POSITIONS angstrom
Ti -2.124 1.554 1.045
Ti -1.336 3.977 1.035
Pd -2.574 3.032 -1.073
Pd -0.886 2.500 3.152
Au 0.000 0.000 0.000
CELL_PARAMETERS angstrom
-3.550 0.552 -2.400
-0.907 -0.281 4.215
0.997 5.260 0.264
```

***

Which is most stable? The ranking, best first, is run ii, run i, run iii.

***

Run i
Density functional theory data (PBE-GGA) for crystalline Ti2Pd2Au3 at its relaxed geometry. Values from VASP.

Output
- Magnetic moment: 0.0 Bohr magnetons per cell
- Symmetry: No. 12

```
&SYSTEM
  ibrav = 0, nat = 7, ntyp = 3
/
ATOMIC_SPECIES
Au 196.97 Au.upf
Pd 106.42 Pd.upf
Ti 47.87 Ti.upf
ATOMIC_POSITIONS angstrom
Au 0.000 0.000 0.000
Au 2.012 3.492 3.078
Au 1.246 0.774 2.592
Pd 2.556 1.586 5.136
Pd 0.702 2.681 0.534
Ti 3.290 2.015 1.001
Ti -0.032 2.252 4.670
CELL_PARAMETERS angstrom
4.798 0.678 -0.917
-2.000 3.275 -0.017
0.460 0.313 6.604
```

***

Run ii
Density functional theory data (PBE-GGA) for crystalline Ti2Pd2Au3 at its relaxed geometry. Values from VASP.

Output
- Magnetic moment: 0.0 Bohr magnetons per cell
- Symmetry: No. 65

```
&SYSTEM
  ibrav = 0, nat = 7, ntyp = 3
/
ATOMIC_SPECIES
Pd 106.42 Pd.upf
Au 196.97 Au.upf
Ti 47.87 Ti.upf
ATOMIC_POSITIONS angstrom
Pd 0.735 7.676 2.846
Pd 0.321 2.677 0.274
Au 0.000 0.000 0.000
Au 0.740 6.164 0.628
Au 0.317 4.189 2.491
Ti 2.451 8.750 1.034
Ti 1.365 1.246 2.334
CELL_PARAMETERS angstrom
-0.416 -0.367 4.092
2.759 -0.356 0.249
1.472 10.719 -0.973
```

***

Which is most stable? The ranking, best first, is run i, run ii.